The following is a DFT calculation (PBE) of a relaxed NdFeSi2Mo crystal.

Formation energy (no corrections), eV per atom: -0.48

Cell: 4.019 4.019 6.127 Å, 109.15 109.15 90.00°
Element x y z (fractional)
Fe 0.750 0.250 0.500
Si 0.618 0.618 0.235
Si 0.382 0.382 0.765
Mo 0.250 0.750 0.500
Nd 0.000 0.000 0.000

The following is a DFT calculation (PBE) of a relaxed AlInF2 crystal.

Relative energy among the computed polymorphs, eV per atom: 0.000
Formation energy (no corrections), eV per atom: -1.76

Cell: 8.050 8.050 8.050 Å, 22.12 22.12 22.12°
Element x y z (fractional)
F 0.077 0.077 0.077
F 0.923 0.923 0.923
In 0.500 0.500 0.500
Al 0.000 0.000 0.000

The following is a DFT calculation (PBE) of a relaxed Cs2Rb2Hg4Pt crystal.

Energy of formation, eV/atom: -0.1981

Cell: 8.113 8.113 8.113 Å, 100.23 114.28 114.28°
Element x y z (fractional)
Hg 0.558 0.779 0.779
Hg 0.000 0.221 0.779
Rb 0.500 0.750 0.250
Hg 0.000 0.779 0.221
Pt 0.000 0.000 0.000
Rb 0.500 0.250 0.750
Hg 0.442 0.221 0.221
Cs 0.000 0.313 0.313
Cs 0.000 0.687 0.687

The following is a DFT calculation (PBE) of a relaxed TaAgBr2 crystal.

Relative energy among the computed polymorphs, eV per atom: 0.000
Formation energy (no corrections), eV per atom: -0.08

Cell: 11.386 11.386 11.386 Å, 16.30 16.30 16.30°
Element x y z (fractional)
Ta 0.250 0.250 0.250
Br 0.526 0.526 0.526
Ag 0.750 0.750 0.750
Br 0.974 0.974 0.974

The following is a DFT calculation (PBE) of a relaxed Th4Tc2Br3 crystal.

Formation energy (no corrections), eV per atom: -0.80

Cell: 4.128 4.128 18.909 Å, 90.01 89.99 120.00°
Element x y z (fractional)
Tc 0.333 0.667 0.209
Br 0.000 0.000 0.000
Th 0.999 0.001 0.294
Tc 0.667 0.333 0.791
Br 0.334 0.666 0.596
Br 0.666 0.334 0.404
Th 0.334 0.666 0.867
Th 0.001 0.999 0.706
Th 0.666 0.334 0.133

The following is a DFT calculation (PBE) of a relaxed Li2YMg10 crystal.

Energy of formation, eV/atom: -0.0316

Cell: 5.648 7.793 7.784 Å, 82.44 68.73 68.75°
Element x y z (fractional)
Mg 0.712 0.783 0.794
Mg 0.650 0.358 0.343
Mg 0.007 0.642 0.343
Mg 0.288 0.217 0.206
Mg 0.494 0.217 0.794
Li 0.500 0.500 0.000
Mg 0.350 0.642 0.657
Mg 0.500 0.000 0.500
Li 0.000 0.500 0.000
Mg 0.506 0.783 0.206
Mg 0.000 0.000 0.500
Mg 0.993 0.358 0.657
Y 0.000 0.000 0.000

The following is a DFT calculation (PBE) of a relaxed BaMnAlPd2 crystal.

Energy of formation, eV/atom: -0.0301

Cell: 4.886 4.886 4.886 Å, 90.00 90.00 90.00°
Element x y z (fractional)
Pd 0.000 0.500 0.000
Al 0.000 0.000 0.000
Ba 0.500 0.500 0.500
Pd 0.500 0.000 0.000
Mn 0.000 0.000 0.500

The following is a DFT calculation (PBE) of a relaxed Sc8CdRu2 crystal.

Energy of formation, eV/atom: -0.3038

Cell: 4.918 6.479 8.394 Å, 112.70 107.02 90.02°
Element x y z (fractional)
Cd 0.137 0.973 0.909
Ru 0.465 0.280 0.568
Sc 0.637 0.273 0.909
Sc 0.968 0.016 0.573
Sc 0.750 0.937 0.136
Sc 0.304 0.352 0.245
Sc 0.523 0.711 0.683
Sc 0.137 0.542 0.909
Sc 0.345 0.856 0.326
Sc 0.928 0.439 0.492
Ru 0.807 0.621 0.250

The following is a DFT calculation (PBE) of a relaxed LaFe2Ru2 crystal.

Energy of formation, eV/atom: 0.0820

Cell: 4.202 4.202 5.865 Å, 69.01 69.01 90.00°
Element x y z (fractional)
Ru 0.622 0.622 0.756
Ru 0.378 0.378 0.244
La 0.000 0.000 0.000
Fe 0.250 0.750 0.500
Fe 0.750 0.250 0.500

The following is a DFT calculation (PBE) of a relaxed AgRh2Se crystal.

Formation energy (no corrections), eV per atom: 0.31

Cell: 2.862 2.862 9.001 Å, 90.00 90.00 118.69°
Element x y z (fractional)
Rh 0.000 0.000 0.017
Rh 0.000 0.000 0.483
Ag 0.500 0.500 0.750
Se 0.500 0.500 0.250

The following is a DFT calculation (PBE) of a relaxed Pm2In4Pb crystal.

Energy of formation, eV/atom: -0.3207

Cell: 6.500 6.500 6.675 Å, 119.04 119.04 90.02°
Element x y z (fractional)
Pm 0.286 0.786 0.571
In 0.786 0.286 0.071
In 0.286 0.286 0.071
Pm 0.786 0.286 0.571
Pb 0.786 0.786 0.571
In 0.286 0.786 0.071
In 0.786 0.786 0.072

The following is a DFT calculation (PBE) of a relaxed YTlPb crystal.

Relative energy among the computed polymorphs, eV per atom: 0.111
Energy of formation, eV/atom: -0.2182

Cell: 5.221 5.221 3.683 Å, 90.00 90.00 120.00°
Element x y z (fractional)
Pb 0.000 0.000 0.023
Y 0.667 0.333 0.649
Tl 0.333 0.667 0.328

- Which formula does entry 3 have?
  Cs2Rb2Hg4Pt